Here is BaZnCl at its PBEsol-relaxed geometry from the Alexandria database. Energies are from meta-GGA SCAN.

- E (eV per atom) = -21.343
- space-group type = P3m1, No. 156
- crystal system = trigonal

Structure (CIF):
```
data_BaZnCl
_chemical_formula_sum 'Ba1 Zn1 Cl1'
_cell_length_a 5.157
_cell_length_b 5.157
_cell_length_c 4.496
_cell_angle_alpha 90.00
_cell_angle_beta 90.00
_cell_angle_gamma 120.00
_symmetry_space_group_name_H-M 'P 1'
_symmetry_Int_Tables_number 1
loop_
_symmetry_equiv_pos_as_xyz
'x,y,z'
loop_
_atom_site_label
_atom_site_fract_x
_atom_site_fract_y
_atom_site_fract_z
Ba1 0.000 0.000 0.000
Zn1 0.667 0.333 0.495
Cl1 0.333 0.667 0.977
```